Entry 1:
HOs2Pt after structural relaxation. Source: Alexandria, functional PBE.

Cell lengths 4.803, 4.803, 5.865 Å; angles 65.83, 65.83, 90.00 degrees
Element x y z (fractional)
Pt  0.750  0.250  0.500
Pt  0.000  0.000  0.000
H  0.500  0.500  0.000
H  0.250  0.750  0.500
Os  0.875  0.727  0.750
Os  0.477  0.125  0.250
Os  0.273  0.625  0.250
Os  0.375  0.523  0.750

Calculated values
Energy relative to the lowest polymorph listed for this composition in eV per atom: 0.0000
Symmetry: No. 122
Total energy in eV for the cell shown: -56.15


Entry 2:
RbGa2OF after structural relaxation. Source: Alexandria, functional PBE.

Cell lengths 4.222, 7.855, 4.222 Å; angles 90.00, 90.00, 90.00 degrees
Element x y z (fractional)
O  0.000  0.000  0.000
Ga  0.500  0.000  0.000
Ga  0.000  0.000  0.500
F  0.000  0.500  0.000
Rb  0.500  0.500  0.500

Calculated values
Uncorrected formation energy in eV/atom: -1.02
Symmetry: No. 123
Total energy in eV for the cell shown: -18.94


Entry 3:
BaCaRu after structural relaxation. Source: Alexandria, functional PBE.

Cell lengths 5.031, 5.031, 3.703 Å; angles 90.00, 90.00, 120.00 degrees
Element x y z (fractional)
Ba  0.000  0.000  0.869
Ru  0.333  0.667  0.771
Ca  0.667  0.333  0.360

Calculated values
Energy relative to the lowest polymorph listed for this composition in eV per atom: 0.1630
Formation energy from the elements in meV/atom: 536
Symmetry: No. 156
Total energy in eV for the cell shown: -11.59


Entry 4:
YZnCd3 after structural relaxation. Source: Alexandria, functional PBE.

Cell lengths 4.754, 6.420, 7.699 Å; angles 109.32, 90.00, 90.00 degrees
Element x y z (fractional)
Cd  0.881  0.679  0.900
Cd  0.881  0.191  0.111
Cd  0.381  0.484  0.695
Cd  0.881  0.542  0.469
Cd  0.381  0.133  0.337
Cd  0.381  0.995  0.906
Y  0.381  0.542  0.134
Y  0.881  0.133  0.672
Zn  0.381  0.829  0.528
Zn  0.881  0.846  0.278

Calculated values
Energy relative to the lowest polymorph listed for this composition in eV per atom: 0.0000
Formation energy from the elements in meV/atom: -222
Symmetry: No. 11
Total energy in eV for the cell shown: -23.19